1.
SmTmHg4 | PBE-GGA | relaxed

a b c (Å): 5.9603 5.9603 5.9603
angles (deg): 60.00 60.00 60.00
With the nearest neighbours (Å) after each atom.
Positions (direct):
Sm (0.0000, 0.0000, 0.0000)  12 Hg 3.49, 4 Tm 3.65
Tm (0.2500, 0.2500, 0.2500)  12 Hg 3.49, 4 Sm 3.65
Hg (0.1250, 0.6250, 0.6250)  6 Hg 2.98
Hg (0.6250, 0.1250, 0.6250)  6 Hg 2.98
Hg (0.6250, 0.6250, 0.1250)  6 Hg 2.98
Hg (0.6250, 0.6250, 0.6250)  6 Hg 2.98

Values from the calculation:
Its energy above the most stable polymorph in this dataset is 193 meV/atom. The formation energy comes out at -194 meV/atom. The space-group type is F-43m, No. 216.

=====

2.
BaMgAl2 | PBE-GGA | relaxed

a b c (Å): 4.9433 4.9433 4.5690
angles (deg): 90.00 90.00 90.00
With the nearest neighbours (Å) after each atom.
Positions (direct):
Ba (0.0000, 0.0000, 0.0000)  8 Al 3.37, 4 Mg 3.50
Mg (0.5000, 0.5000, 0.0000)  8 Al 3.37, 4 Ba 3.50
Al (0.0000, 0.5000, 0.5000)  4 Mg 3.37, 4 Ba 3.37, 4 Al 3.50
Al (0.5000, 0.0000, 0.5000)  4 Mg 3.37, 4 Ba 3.37, 4 Al 3.50

Values from the calculation:
The formation energy comes out at 151 meV/atom. The space-group type is P4/mmm, No. 123.